Density functional theory data (PBE-GGA) for a relaxed DyAgPbS3 crystal.

POSCAR file:
```
DyAgPbS3
1.0
7.5225 0.0000 0.0000
0.0000 4.0159 0.0000
-2.6489 0.0000 9.3961
Dy Ag Pb S
2 2 2 6
Direct
0.2004 0.2500 0.1524 Dy
0.7996 0.7500 0.8476 Dy
0.3997 0.7500 0.4071 Ag
0.6003 0.2500 0.5929 Ag
0.2239 0.7500 0.6976 Pb
0.7761 0.2500 0.3024 Pb
0.0634 0.2500 0.8638 S
0.2045 0.2500 0.4489 S
0.4501 0.7500 0.1630 S
0.5499 0.2500 0.8370 S
0.7955 0.7500 0.5511 S
0.9366 0.7500 0.1362 S
```

Summary:
polymorph energy (0 for the lowest one)	0.0231	eV per atom
final energy	-59.299	eV for the cell shown